Na3MnCd2O6 | PBE+U | optimized geometry

Unit cell a=5.6308 b=5.6308 c=5.7947 alpha=99.84 beta=99.84 gamma=119.56
With the nearest neighbours (Å) after each atom.
Fractional positions:
Na (0.0000, 0.0000, 0.0000)  4 O 2.35
Na (0.3354, 0.6646, 0.0000)  4 O 2.37
Na (0.6646, 0.3354, 0.0000)  4 O 2.37
Mn (0.5000, 0.5000, 0.5000)  6 O 1.97-1.98
Cd (0.1674, 0.8326, 0.5000)  6 O 2.31-2.37
Cd (0.8326, 0.1674, 0.5000)  6 O 2.31-2.37
O (0.1440, 0.4311, 0.2870)  1 Mn 1.98
O (0.2824, 0.2824, 0.7027)  1 Mn 1.97
O (0.4311, 0.1440, 0.2870)  1 Mn 1.98
O (0.5689, 0.8560, 0.7130)  1 Mn 1.98
O (0.7176, 0.7176, 0.2973)  1 Mn 1.97
O (0.8560, 0.5689, 0.7130)  1 Mn 1.98

## Properties
size of the total moment	0.3407	μB/atom
density	4.9	Mg/m³
final energy	-4.855	eV per atom